1.
Here is an optimized crystal structure of NiOs3 from the Alexandria database. Energies are from PBE-GGA.

a b c (Å): 4.6426 4.6426 2.6977
angles (deg): 90.00 90.00 109.65
Closest atoms and distances in Å follow each position.
Positions (direct):
Ni1 0.0000 0.0000 0.0000  10 Os 2.67-2.68, 2 Ni 2.70
Os1 0.0000 0.5000 0.5000  8 Os 2.67-2.70, 4 Ni 2.68
Os2 0.5000 0.0000 0.5000  8 Os 2.67-2.70, 4 Ni 2.68
Os3 0.5000 0.5000 0.0000  2 Ni 2.67, 10 Os 2.68-2.70

Summary:
The formation energy comes out at 5.2 kcal/mol of atoms.

2.
Here is an optimized crystal structure of W2SeCl from the Alexandria database. Energies are from PBE-GGA.

a b c (Å): 2.9701 2.9701 9.8833
angles (deg): 90.00 90.00 114.76
Closest atoms and distances in Å follow each position.
Positions (direct):
Cl1 0.0000 0.0000 0.4363  2 W 2.57
Se1 0.5000 0.5000 0.8103  2 W 2.63
W1 0.0000 0.0000 0.0210  2 Se 2.63, 2 W 2.63
W2 0.5000 0.5000 0.2324  2 Cl 2.57, 2 W 2.63

Summary:
The raw total energy comes out at -7.49 eV/atom.

3.
Here is an optimized crystal structure of Ca2GdHo from the Alexandria database. Energies are from PBE-GGA.

a b c (Å): 5.8571 5.8571 5.8571
angles (deg): 60.00 60.00 60.00
Closest atoms and distances in Å follow each position.
Positions (direct):
Ca1 0.2500 0.2500 0.2500  4 Gd 3.59, 4 Ho 3.59
Ca2 0.7500 0.7500 0.7500  4 Ho 3.59, 4 Gd 3.59
Gd1 0.5000 0.5000 0.5000  8 Ca 3.59
Ho1 0.0000 0.0000 0.0000  8 Ca 3.59

Summary:
The formation energy comes out at 4.1 kcal/mol of atoms.

4.
Here is an optimized crystal structure of Dy2YPd from the Alexandria database. Energies are from PBE-GGA.

a b c (Å): 3.7362 3.7362 9.7763
angles (deg): 78.98 78.98 60.00
Closest atoms and distances in Å follow each position.
Positions (direct):
Dy1 0.0649 0.0649 0.8052  3 Pd 2.85
Dy2 0.2679 0.2679 0.1962  3 Pd 2.85
Y1 0.5009 0.5009 0.4974  6 Dy 3.59-3.64, 6 Y 3.74
Pd1 0.6663 0.6663 0.0012  6 Dy 2.85

Summary:
The formation energy comes out at -7.0 kcal/mol of atoms.

5.
Here is an optimized crystal structure of TmPd7Au4 from the Alexandria database. Energies are from PBE-GGA.

a b c (Å): 4.9736 8.9833 5.6676
angles (deg): 84.08 63.97 73.93
Closest atoms and distances in Å follow each position.
Positions (direct):
Tm1 0.0000 0.0000 0.0000  4 Pd 2.49-2.62
Pd1 0.7958 0.9167 0.4917  1 Tm 2.62, 4 Pd 2.67-2.87, 4 Au 2.73-2.82
Pd2 0.2042 0.0833 0.5083  1 Tm 2.62, 4 Pd 2.67-2.87, 4 Au 2.73-2.82
Pd3 0.0373 0.6203 0.3052  5 Pd 2.71-2.90, 4 Au 2.76-2.87
Pd4 0.9627 0.3797 0.6948  5 Pd 2.71-2.90, 4 Au 2.76-2.87
Pd5 0.3444 0.5437 0.7674  5 Au 2.74-2.84, 4 Pd 2.80-2.88
Pd6 0.5000 0.0000 0.0000  2 Tm 2.49, 2 Pd 2.67, 2 Au 2.78
Pd7 0.6556 0.4563 0.2326  5 Au 2.74-2.84, 4 Pd 2.80-2.88
Au1 0.5868 0.2281 0.5982  8 Pd 2.73-2.87, 1 Au 2.84
Au2 0.4132 0.7719 0.4018  8 Pd 2.73-2.87, 1 Au 2.84
Au3 0.7268 0.6867 0.8598  7 Pd 2.76-2.87, 1 Au 2.84
Au4 0.2732 0.3133 0.1402  7 Pd 2.76-2.87, 1 Au 2.84

Summary:
The formation energy comes out at -2.8 kcal/mol of atoms.

6.
Here is an optimized crystal structure of Sr4AlFe from the Alexandria database. Energies are from PBE-GGA.

a b c (Å): 6.9177 6.9177 6.9177
angles (deg): 60.00 60.00 60.00
Closest atoms and distances in Å follow each position.
Positions (direct):
Sr1 0.8756 0.3748 0.3748  6 Sr 3.45-3.46
Sr2 0.3748 0.3748 0.8756  6 Sr 3.45-3.46
Sr3 0.3748 0.8756 0.3748  6 Sr 3.45-3.46
Sr4 0.3748 0.3748 0.3748  6 Sr 3.45-3.46
Al1 0.7500 0.7500 0.7500  12 Sr 4.06, 4 Fe 4.24
Fe1 0.0000 0.0000 0.0000  12 Sr 4.06, 4 Al 4.24

Summary:
The formation energy comes out at 22.2 kcal/mol of atoms.

7.
Here is an optimized crystal structure of Pr4ErTm8 from the Alexandria database. Energies are from PBE-GGA.

a b c (Å): 7.7725 7.7725 7.7725
angles (deg): 90.14 90.14 90.14
Closest atoms and distances in Å follow each position.
Positions (direct):
Pr1 0.5000 0.0000 0.5000  8 Tm 3.41
Pr2 0.0000 0.5000 0.5000  8 Tm 3.41
Pr3 0.5000 0.5000 0.0000  8 Tm 3.41
Pr4 0.0000 0.0000 0.0000  8 Tm 3.23-3.24
Er1 0.5000 0.5000 0.5000  8 Tm 3.48-3.50, 6 Pr 3.89
Tm1 0.2400 0.7582 0.2400  4 Pr 3.24-3.41, 1 Er 3.50
Tm2 0.7600 0.7600 0.2418  4 Pr 3.24-3.41, 1 Er 3.50
Tm3 0.7600 0.2418 0.7600  4 Pr 3.24-3.41, 1 Er 3.50
Tm4 0.2418 0.7600 0.7600  4 Pr 3.24-3.41, 1 Er 3.50
Tm5 0.7594 0.7594 0.7594  4 Pr 3.23-3.41, 1 Er 3.48
Tm6 0.2406 0.2406 0.2406  4 Pr 3.23-3.41, 1 Er 3.48
Tm7 0.7582 0.2400 0.2400  4 Pr 3.24-3.41, 1 Er 3.50
Tm8 0.2400 0.2400 0.7582  4 Pr 3.24-3.41, 1 Er 3.50

Summary:
The formation energy comes out at 12.3 kcal/mol of atoms.

8.
Here is an optimized crystal structure of LaYAl2Zn2 from the Alexandria database. Energies are from PBE-GGA.

a b c (Å): 4.5288 4.5288 7.5887
angles (deg): 90.00 90.00 120.00
Closest atoms and distances in Å follow each position.
Positions (direct):
La1 0.0000 0.0000 0.0000  6 Al 3.35, 6 Zn 3.40
Y1 0.0000 0.0000 0.5000  6 Zn 3.08, 6 Al 3.12
Al1 0.3333 0.6667 0.7249  3 Zn 2.62
Al2 0.6667 0.3333 0.2751  3 Zn 2.62
Zn1 0.3333 0.6667 0.2857  3 Al 2.62
Zn2 0.6667 0.3333 0.7143  3 Al 2.62

Summary:
The formation energy comes out at -10.5 kcal/mol of atoms.

Please write out number 1 again, unchanged.
Here is an optimized crystal structure of NiOs3 from the Alexandria database. Energies are from PBE-GGA.

a b c (Å): 4.6426 4.6426 2.6977
angles (deg): 90.00 90.00 109.65
Closest atoms and distances in Å follow each position.
Positions (direct):
Ni1 0.0000 0.0000 0.0000  10 Os 2.67-2.68, 2 Ni 2.70
Os1 0.0000 0.5000 0.5000  8 Os 2.67-2.70, 4 Ni 2.68
Os2 0.5000 0.0000 0.5000  8 Os 2.67-2.70, 4 Ni 2.68
Os3 0.5000 0.5000 0.0000  2 Ni 2.67, 10 Os 2.68-2.70

Summary:
The formation energy comes out at 5.2 kcal/mol of atoms.